1.
Density functional theory data (PBE-GGA) for a relaxed Ta2BiSe crystal.

CIF file:
```
data_Ta2BiSe
_symmetry_space_group_name_H-M 'F m -3 m'
_symmetry_Int_Tables_number 225
_symmetry_space_group_name_Hall '-F 4 2 3'
_cell_length_a 6.778
_cell_length_b 6.778
_cell_length_c 6.778
_cell_angle_alpha 90.00
_cell_angle_beta 90.00
_cell_angle_gamma 90.00
loop_
_atom_site_label
_atom_site_type_symbol
_atom_site_fract_x
_atom_site_fract_y
_atom_site_fract_z
_atom_site_occupancy
Ta1 Ta 0.250 0.250 0.250 1
Bi1 Bi 0.000 0.000 0.000 1
Se1 Se 0.000 0.000 0.500 1
```

---

2.
Density functional theory data (PBE-GGA) for a relaxed Ta2Bi2Se crystal.

CIF file:
```
data_Ta2Bi2Se
_symmetry_space_group_name_H-M 'P 4/m b m'
_symmetry_Int_Tables_number 127
_symmetry_space_group_name_Hall '-P 4 2ab'
_cell_length_a 8.352
_cell_length_b 8.352
_cell_length_c 3.531
_cell_angle_alpha 90.00
_cell_angle_beta 90.00
_cell_angle_gamma 90.00
loop_
_atom_site_label
_atom_site_type_symbol
_atom_site_fract_x
_atom_site_fract_y
_atom_site_fract_z
_atom_site_occupancy
Ta1 Ta 0.114 0.386 0.000 1
Bi1 Bi 0.171 0.671 0.500 1
Se1 Se 0.000 0.000 0.500 1
```

---

Short version: total moment = 0.0; 0.0 μB/f.u., in the order given.
Short version: formation energy without anion corrections = 0.34; 0.79 eV/atom, in the order given.